SmHo3Co: optimized geometry, PBE.

Results
Formation energy from the elements   -26 meV per atom
DOS at the Fermi energy   8.617 states/eV/f.u.
Energy above the lowest structure with this stoichiometry   76.4 meV/atom
Space group   No. 221

```
data_SmHo3Co
_chemical_formula_sum 'Sm1 Ho3 Co1'
_space_group_name_H-M_alt 'P 1'
_space_group_IT_number 1
_cell_length_a 5.2671
_cell_length_b 5.2671
_cell_length_c 5.2671
_cell_angle_alpha 90.00
_cell_angle_beta 90.00
_cell_angle_gamma 90.00
loop_
_space_group_symop_operation_xyz
'x,y,z'
loop_
_atom_site_label
_atom_site_type_symbol
_atom_site_fract_x
_atom_site_fract_y
_atom_site_fract_z
_atom_site_occupancy
Co1 Co 0.0000 0.0000 0.0000 1
Ho1 Ho 0.0000 0.5000 0.0000 1
Ho2 Ho 0.0000 0.0000 0.5000 1
Ho3 Ho 0.5000 0.0000 0.0000 1
Sm1 Sm 0.5000 0.5000 0.5000 1
```

Hg2S2Cl: optimized geometry, PBE.

Results
DOS at the Fermi energy   0.000 states/eV/f.u.
Space group   No. 2

```
data_Hg2S2Cl
_chemical_formula_sum 'Hg4 S4 Cl2'
_space_group_name_H-M_alt 'P 1'
_space_group_IT_number 1
_cell_length_a 7.1755
_cell_length_b 8.1157
_cell_length_c 7.8376
_cell_angle_alpha 79.26
_cell_angle_beta 51.17
_cell_angle_gamma 55.83
loop_
_space_group_symop_operation_xyz
'x,y,z'
loop_
_atom_site_label
_atom_site_type_symbol
_atom_site_fract_x
_atom_site_fract_y
_atom_site_fract_z
_atom_site_occupancy
Hg1 Hg 0.4428 0.7438 0.8555 1
Hg2 Hg 0.8588 0.2798 0.3985 1
Hg3 Hg 0.5572 0.2562 0.1445 1
Hg4 Hg 0.1412 0.7202 0.6016 1
S1 S 0.6056 0.5035 0.2085 1
S2 S 0.5857 0.9665 0.8324 1
S3 S 0.4143 0.0335 0.1676 1
S4 S 0.3944 0.4965 0.7915 1
Cl1 Cl 0.8893 0.9467 0.3035 1
Cl2 Cl 0.1107 0.0533 0.6965 1
```

Li4Er3PuSe8: optimized geometry, PBE.

Results
DOS at the Fermi energy   12.391 states/eV/f.u.
Space group   No. 166

```
data_Li4Er3PuSe8
_chemical_formula_sum 'Li4 Er3 Pu1 Se8'
_space_group_name_H-M_alt 'P 1'
_space_group_IT_number 1
_cell_length_a 8.1278
_cell_length_b 8.0051
_cell_length_c 8.1269
_cell_angle_alpha 120.54
_cell_angle_beta 120.00
_cell_angle_gamma 90.00
loop_
_space_group_symop_operation_xyz
'x,y,z'
loop_
_atom_site_label
_atom_site_type_symbol
_atom_site_fract_x
_atom_site_fract_y
_atom_site_fract_z
_atom_site_occupancy
Li1 Li 0.5000 0.0000 0.0000 1
Li2 Li 0.5000 0.0000 0.5000 1
Li3 Li 0.0000 0.0000 0.0000 1
Li4 Li 0.0000 0.0000 0.5000 1
Er1 Er 0.5000 0.5000 0.0000 1
Er2 Er 0.5000 0.5000 0.5000 1
Er3 Er 0.0000 0.5000 0.5000 1
Pu1 Pu 0.0000 0.5000 0.0000 1
Se1 Se 0.2537 0.7529 0.9995 1
Se2 Se 0.2537 0.7529 0.5074 1
Se3 Se 0.2494 0.2486 0.4988 1
Se4 Se 0.7458 0.7529 0.9995 1
Se5 Se 0.2542 0.2471 0.0005 1
Se6 Se 0.7506 0.7514 0.5012 1
Se7 Se 0.7463 0.2471 0.4926 1
Se8 Se 0.7463 0.2471 0.0005 1
```

The evaluated final energy for the records listed, in turn: -5.1378, -2.3646, -5.5814 eV per atom.